--- i ---
A relaxed HRuSe2N crystal, computed with PBE-GGA.

Results
Symmetry: No. 123
Size of the total moment, Bohr magnetons per cell: 0.382

Cell lengths 4.711, 4.711, 2.755 Å; angles 90.00, 90.00, 90.00 degrees
Positions (direct):
H (0.000, 0.000, 0.000)
Ru (0.500, 0.500, 0.500)
Se (0.000, 0.500, 0.000)
Se (0.500, 0.000, 0.000)
N (0.000, 0.000, 0.500)

--- ii ---
A relaxed HRuSe2N crystal, computed with PBE-GGA.

Results
Symmetry: No. 123
Size of the total moment, Bohr magnetons per cell: 0.721

Cell lengths 5.085, 5.085, 3.632 Å; angles 90.00, 90.00, 90.00 degrees
Positions (direct):
H (0.000, 0.000, 0.000)
Ru (0.500, 0.500, 0.500)
Se (0.000, 0.500, 0.500)
Se (0.500, 0.000, 0.500)
N (0.500, 0.500, 0.000)

Top of the stability list: ii, leading by 0.157 eV/atom.

--- i ---
A relaxed SiHSN2 crystal, computed with PBE-GGA.

Results
Symmetry: No. 123
Size of the total moment, Bohr magnetons per cell: 0.490

Cell lengths 3.359, 3.359, 5.501 Å; angles 90.00, 90.00, 90.00 degrees
Positions (direct):
Si (0.000, 0.000, 0.000)
H (0.500, 0.500, 0.500)
S (0.000, 0.000, 0.500)
N (0.000, 0.500, 0.000)
N (0.500, 0.000, 0.000)

--- ii ---
A relaxed SiHSN2 crystal, computed with PBE-GGA.

Results
Symmetry: No. 123
Size of the total moment, Bohr magnetons per cell: 0.001

Cell lengths 3.903, 3.903, 2.990 Å; angles 90.00, 90.00, 90.00 degrees
Positions (direct):
Si (0.000, 0.000, 0.000)
H (0.500, 0.500, 0.500)
S (0.500, 0.500, 0.000)
N (0.000, 0.500, 0.500)
N (0.500, 0.000, 0.500)

Top of the stability list: i, leading by 0.913 eV/atom.

--- i ---
A relaxed TaHS2N crystal, computed with PBE-GGA.

Results
Symmetry: No. 123
Size of the total moment, Bohr magnetons per cell: 0.000

Cell lengths 3.324, 3.324, 5.108 Å; angles 90.00, 90.00, 90.00 degrees
Positions (direct):
Ta (0.000, 0.000, 0.000)
H (0.500, 0.500, 0.500)
S (0.000, 0.500, 0.500)
S (0.500, 0.000, 0.500)
N (0.500, 0.500, 0.000)

--- ii ---
A relaxed TaHS2N crystal, computed with PBE-GGA.

Results
Symmetry: No. 123
Size of the total moment, Bohr magnetons per cell: 2.152

Cell lengths 4.833, 4.833, 4.047 Å; angles 90.00, 90.00, 90.00 degrees
Positions (direct):
Ta (0.000, 0.000, 0.000)
H (0.500, 0.500, 0.500)
S (0.000, 0.500, 0.000)
S (0.500, 0.000, 0.000)
N (0.000, 0.000, 0.500)

Top of the stability list: ii, leading by 0.326 eV/atom.

--- i ---
A relaxed TiHS2N crystal, computed with PBE-GGA.

Results
Symmetry: No. 123
Size of the total moment, Bohr magnetons per cell: 1.765

Cell lengths 4.732, 4.732, 3.936 Å; angles 90.00, 90.00, 90.00 degrees
Positions (direct):
Ti (0.000, 0.000, 0.000)
H (0.500, 0.500, 0.500)
S (0.000, 0.500, 0.000)
S (0.500, 0.000, 0.000)
N (0.000, 0.000, 0.500)

--- ii ---
A relaxed TiHS2N crystal, computed with PBE-GGA.

Results
Symmetry: No. 123
Size of the total moment, Bohr magnetons per cell: 0.000

Cell lengths 4.516, 4.516, 2.728 Å; angles 90.00, 90.00, 90.00 degrees
Positions (direct):
Ti (0.000, 0.000, 0.000)
H (0.500, 0.500, 0.500)
S (0.000, 0.500, 0.500)
S (0.500, 0.000, 0.500)
N (0.500, 0.500, 0.000)

Top of the stability list: i, leading by 0.064 eV/atom.

--- i ---
A relaxed TlHSN2 crystal, computed with PBE-GGA.

Results
Symmetry: No. 123
Size of the total moment, Bohr magnetons per cell: 1.290

Cell lengths 4.327, 4.327, 3.164 Å; angles 90.00, 90.00, 90.00 degrees
Positions (direct):
Tl (0.000, 0.000, 0.000)
H (0.500, 0.500, 0.500)
S (0.500, 0.500, 0.000)
N (0.000, 0.500, 0.500)
N (0.500, 0.000, 0.500)

--- ii ---
A relaxed TlHSN2 crystal, computed with PBE-GGA.

Results
Symmetry: No. 123
Size of the total moment, Bohr magnetons per cell: 6.059

Cell lengths 4.700, 4.700, 5.265 Å; angles 90.00, 90.00, 90.00 degrees
Positions (direct):
Tl (0.000, 0.000, 0.000)
H (0.500, 0.500, 0.500)
S (0.000, 0.000, 0.500)
N (0.000, 0.500, 0.000)
N (0.500, 0.000, 0.000)

Top of the stability list: i, leading by 0.439 eV/atom.

--- i ---
A relaxed VHS2N crystal, computed with PBE-GGA.

Results
Symmetry: No. 123
Size of the total moment, Bohr magnetons per cell: 0.565

Cell lengths 4.622, 4.622, 3.695 Å; angles 90.00, 90.00, 90.00 degrees
Positions (direct):
V (0.000, 0.000, 0.000)
H (0.500, 0.500, 0.500)
S (0.000, 0.500, 0.000)
S (0.500, 0.000, 0.000)
N (0.000, 0.000, 0.500)

--- ii ---
A relaxed VHS2N crystal, computed with PBE-GGA.

Results
Symmetry: No. 123
Size of the total moment, Bohr magnetons per cell: 1.868

Cell lengths 3.239, 3.239, 6.879 Å; angles 90.00, 90.00, 90.00 degrees
Positions (direct):
V (0.000, 0.000, 0.000)
H (0.500, 0.500, 0.500)
S (0.000, 0.500, 0.500)
S (0.500, 0.000, 0.500)
N (0.500, 0.500, 0.000)

Top of the stability list: i, leading by 0.334 eV/atom.

--- i ---
A relaxed HWS2N crystal, computed with PBE-GGA.

Results
Symmetry: No. 123
Size of the total moment, Bohr magnetons per cell: 0.000

Cell lengths 3.322, 3.322, 4.878 Å; angles 90.00, 90.00, 90.00 degrees
Positions (direct):
H (0.000, 0.000, 0.000)
W (0.500, 0.500, 0.500)
S (0.000, 0.500, 0.000)
S (0.500, 0.000, 0.000)
N (0.000, 0.000, 0.500)

--- ii ---
A relaxed HWS2N crystal, computed with PBE-GGA.

Results
Symmetry: No. 123
Size of the total moment, Bohr magnetons per cell: 0.029

Cell lengths 4.741, 4.741, 3.882 Å; angles 90.00, 90.00, 90.00 degrees
Positions (direct):
H (0.000, 0.000, 0.000)
W (0.500, 0.500, 0.500)
S (0.000, 0.500, 0.500)
S (0.500, 0.000, 0.500)
N (0.500, 0.500, 0.000)

Top of the stability list: ii, leading by 0.687 eV/atom.

--- i ---
A relaxed YHS2N crystal, computed with PBE-GGA.

Results
Symmetry: No. 123
Size of the total moment, Bohr magnetons per cell: 0.000

Cell lengths 3.999, 3.999, 4.694 Å; angles 90.00, 90.00, 90.00 degrees
Positions (direct):
Y (0.000, 0.000, 0.000)
H (0.500, 0.500, 0.000)
S (0.000, 0.500, 0.500)
S (0.500, 0.000, 0.500)
N (0.000, 0.000, 0.500)

--- ii ---
A relaxed YHS2N crystal, computed with PBE-GGA.

Results
Symmetry: No. 123
Size of the total moment, Bohr magnetons per cell: 5.020

Cell lengths 5.389, 5.389, 4.720 Å; angles 90.00, 90.00, 90.00 degrees
Positions (direct):
Y (0.000, 0.000, 0.000)
H (0.500, 0.500, 0.500)
S (0.000, 0.500, 0.000)
S (0.500, 0.000, 0.000)
N (0.000, 0.000, 0.500)

--- iii ---
A relaxed YHS2N crystal, computed with PBE-GGA.

Results
Symmetry: No. 123
Size of the total moment, Bohr magnetons per cell: 0.009

Cell lengths 4.455, 4.455, 3.430 Å; angles 90.00, 90.00, 90.00 degrees
Positions (direct):
Y (0.000, 0.000, 0.000)
H (0.500, 0.500, 0.500)
S (0.000, 0.500, 0.500)
S (0.500, 0.000, 0.500)
N (0.500, 0.500, 0.000)

Top of the stability list: i, leading by 0.086 eV/atom.

--- i ---
A relaxed ZnHS2N crystal, computed with PBE-GGA.

Results
Symmetry: No. 123
Size of the total moment, Bohr magnetons per cell: 1.155

Cell lengths 3.390, 3.390, 6.651 Å; angles 90.00, 90.00, 90.00 degrees
Positions (direct):
Zn (0.000, 0.000, 0.000)
H (0.500, 0.500, 0.500)
S (0.000, 0.500, 0.500)
S (0.500, 0.000, 0.500)
N (0.500, 0.500, 0.000)

--- ii ---
A relaxed ZnHS2N crystal, computed with PBE-GGA.

Results
Symmetry: No. 123
Size of the total moment, Bohr magnetons per cell: 4.004

Cell lengths 4.834, 4.834, 3.863 Å; angles 90.00, 90.00, 90.00 degrees
Positions (direct):
Zn (0.000, 0.000, 0.000)
H (0.500, 0.500, 0.500)
S (0.000, 0.500, 0.000)
S (0.500, 0.000, 0.000)
N (0.000, 0.000, 0.500)

Top of the stability list: i, leading by 0.445 eV/atom.

--- i ---
A relaxed ZrHS2N crystal, computed with PBE-GGA.

Results
Symmetry: No. 123
Size of the total moment, Bohr magnetons per cell: 2.733

Cell lengths 5.038, 5.038, 4.333 Å; angles 90.00, 90.00, 90.00 degrees
Positions (direct):
Zr (0.000, 0.000, 0.000)
H (0.500, 0.500, 0.500)
S (0.000, 0.500, 0.000)
S (0.500, 0.000, 0.000)
N (0.000, 0.000, 0.500)

--- ii ---
A relaxed ZrHS2N crystal, computed with PBE-GGA.

Results
Symmetry: No. 123
Size of the total moment, Bohr magnetons per cell: 0.781

Cell lengths 4.273, 4.273, 3.584 Å; angles 90.00, 90.00, 90.00 degrees
Positions (direct):
Zr (0.000, 0.000, 0.000)
H (0.000, 0.000, 0.500)
S (0.000, 0.500, 0.500)
S (0.500, 0.000, 0.500)
N (0.500, 0.500, 0.000)

Top of the stability list: i, leading by 0.227 eV/atom.

--- i ---
A relaxed SbH2N crystal, computed with PBE-GGA.

Results
Symmetry: No. 225
Size of the total moment, Bohr magnetons per cell: 0.000

Cell lengths 3.687, 3.687, 3.687 Å; angles 60.00, 60.00, 60.00 degrees
Positions (direct):
Sb (0.000, 0.000, 0.000)
H (0.250, 0.250, 0.250)
H (0.750, 0.750, 0.750)
N (0.500, 0.500, 0.500)

--- ii ---
A relaxed SbH2N crystal, computed with PBE-GGA.

Results
Symmetry: No. 227
Size of the total moment, Bohr magnetons per cell: 0.000

Cell lengths 4.657, 4.657, 4.657 Å; angles 60.00, 60.00, 60.00 degrees
Positions (direct):
Sb (0.125, 0.125, 0.125)
Sb (0.875, 0.875, 0.875)
H (0.000, 0.500, 0.500)
H (0.500, 0.000, 0.500)
H (0.500, 0.500, 0.000)
H (0.500, 0.500, 0.500)
N (0.375, 0.375, 0.375)
N (0.625, 0.625, 0.625)

Top of the stability list: ii, leading by 0.727 eV/atom.

--- i ---
A relaxed SbHN2 crystal, computed with PBE-GGA.

Results
Symmetry: No. 122
Size of the total moment, Bohr magnetons per cell: 0.000

Cell lengths 5.584, 5.584, 5.584 Å; angles 133.85, 133.85, 67.32 degrees
Positions (direct):
Sb (0.000, 0.000, 0.000)
Sb (0.750, 0.250, 0.500)
H (0.250, 0.750, 0.500)
H (0.500, 0.500, 0.000)
N (0.163, 0.625, 0.038)
N (0.375, 0.413, 0.538)
N (0.587, 0.125, 0.962)
N (0.875, 0.837, 0.462)

--- ii ---
A relaxed SbHN2 crystal, computed with PBE-GGA.

Results
Symmetry: No. 166
Size of the total moment, Bohr magnetons per cell: 0.000

Cell lengths 5.579, 5.579, 5.579 Å; angles 33.05, 33.05, 33.05 degrees
Positions (direct):
Sb (0.000, 0.000, 0.000)
H (0.500, 0.500, 0.500)
N (0.151, 0.151, 0.151)
N (0.849, 0.849, 0.849)

--- iii ---
A relaxed SbHN2 crystal, computed with PBE-GGA.

Results
Symmetry: No. 166
Size of the total moment, Bohr magnetons per cell: 0.000

Cell lengths 5.126, 5.126, 5.126 Å; angles 36.70, 36.70, 36.70 degrees
Positions (direct):
Sb (0.000, 0.000, 0.000)
H (0.500, 0.500, 0.500)
N (0.409, 0.409, 0.409)
N (0.591, 0.591, 0.591)

Top of the stability list: iii, leading by 0.673 eV/atom.